[1]
The following is a DFT calculation (GGA-PBE) of BeInRu4 after structural relaxation.

Summary:
V ... 95 Å³ per cell
Magnetic moment ... 0.31 μB/atom
Formation energy from the elements ... 0.574 eV per atom
D(E_F) ... 7.7 states/eV/cell

Unit cell a=5.1174 b=5.1174 c=5.1174 alpha=60.00 beta=60.00 gamma=60.00
With the nearest neighbours (Å) after each atom.
Atoms (fractional coordinates):
Be 0.0000 0.0000 0.0000  12 Ru 3.00, 4 In 3.13
In 0.7500 0.7500 0.7500  12 Ru 3.00, 4 Be 3.13
Ru 0.3746 0.3746 0.3746  6 Ru 2.55-2.57
Ru 0.3746 0.3746 0.8762  6 Ru 2.55-2.57
Ru 0.3746 0.8762 0.3746  6 Ru 2.55-2.57
Ru 0.8762 0.3746 0.3746  6 Ru 2.55-2.57

[2]
The following is a DFT calculation (GGA-PBE) of LaNd15Y4 after structural relaxation.

Summary:
V ... 696 Å³ per cell
Magnetic moment ... 0.00 μB/atom
Formation energy from the elements ... 0.012 eV per atom
D(E_F) ... 29.3 states/eV/cell

Unit cell a=5.1866 b=5.1866 c=25.8604 alpha=90.00 beta=90.00 gamma=90.00
With the nearest neighbours (Å) after each atom.
Atoms (fractional coordinates):
La 0.0000 0.0000 0.0000  12 Nd 3.67-3.70
Nd 0.0000 0.5000 0.1020  2 Y 3.65, 8 Nd 3.67-3.70, 2 La 3.70
Nd 0.0000 0.5000 0.3010  8 Nd 3.64-3.67, 4 Y 3.65
Nd 0.0000 0.5000 0.5000  4 Y 3.65, 8 Nd 3.65-3.67
Nd 0.0000 0.5000 0.6990  8 Nd 3.64-3.67, 4 Y 3.65
Nd 0.0000 0.5000 0.8980  2 Y 3.65, 8 Nd 3.67-3.70, 2 La 3.70
Nd 0.5000 0.0000 0.1020  2 Y 3.65, 8 Nd 3.67-3.70, 2 La 3.70
Nd 0.5000 0.0000 0.3010  8 Nd 3.64-3.67, 4 Y 3.65
Nd 0.5000 0.0000 0.5000  4 Y 3.65, 8 Nd 3.65-3.67
Nd 0.5000 0.0000 0.6990  8 Nd 3.64-3.67, 4 Y 3.65
Nd 0.5000 0.0000 0.8980  2 Y 3.65, 8 Nd 3.67-3.70, 2 La 3.70
Nd 0.5000 0.5000 0.0000  4 La 3.67, 8 Nd 3.70
Nd 0.5000 0.5000 0.2024  8 Nd 3.64-3.67, 4 Y 3.67
Nd 0.5000 0.5000 0.4005  8 Nd 3.65, 4 Y 3.67
Nd 0.5000 0.5000 0.5995  8 Nd 3.65, 4 Y 3.67
Nd 0.5000 0.5000 0.7976  8 Nd 3.64-3.67, 4 Y 3.67
Y 0.0000 0.0000 0.2014  12 Nd 3.65-3.67
Y 0.0000 0.0000 0.4005  12 Nd 3.65-3.67
Y 0.0000 0.0000 0.5995  12 Nd 3.65-3.67
Y 0.0000 0.0000 0.7986  12 Nd 3.65-3.67

[3]
The following is a DFT calculation (GGA-PBE) of LiDy2NpTe4 after structural relaxation.

Summary:
Formation energy from raw total energies ... -1.10 eV/atom
V ... 234 Å³ per cell
Magnetic moment ... 0.59 μB/atom
D(E_F) ... 14.5 states/eV/cell

Unit cell a=7.5546 b=4.3386 c=7.5616 alpha=90.00 beta=109.45 gamma=90.00
With the nearest neighbours (Å) after each atom.
Atoms (fractional coordinates):
Li 0.0000 0.0000 0.0000  6 Te 3.04
Dy 0.5000 0.0000 0.5000  6 Te 3.12-3.13
Dy 0.5000 0.5000 0.0000  6 Te 3.06
Np 0.0000 0.5000 0.5000  6 Te 3.09-3.11
Te 0.2459 0.5000 0.2415  2 Li 3.04, 3 Dy 3.06-3.12, 1 Np 3.11
Te 0.2489 0.0000 0.7564  1 Li 3.04, 3 Dy 3.06-3.13, 2 Np 3.09
Te 0.7511 0.0000 0.2436  1 Li 3.04, 3 Dy 3.06-3.13, 2 Np 3.09
Te 0.7541 0.5000 0.7585  2 Li 3.04, 3 Dy 3.06-3.12, 1 Np 3.11